Sr2AlV2GaO7 | GGA+U | relaxed

a b c (Å): 8.0349 21.9884 5.5789
angles (deg): 90.00 132.78 90.00
Closest atoms and distances in Å follow each position.
Space group Cm (No. 8)
Inequivalent atoms, fractional coordinates:
Sr1 0.0000 0.0947 0.0000 x4  5 O 2.46-2.61
Sr2 0.4199 0.1012 0.9257 x4  5 O 2.48-2.68
Al1 0.0483 0.2315 0.9784 x4  4 O 1.80-1.86
V1 0.4517 0.3157 0.4466 x4  4 O 2.02-2.10
V2 0.4777 0.1796 0.4860 x4  5 O 2.14-2.30
Ga1 0.0391 0.5000 0.5747 x2  4 O 1.86-1.92
Ga2 0.3782 0.5000 0.4019 x2  4 O 1.85-1.92
O1 0.0094 0.0751 0.4707 x4  1 Ga 1.85
O2 0.0911 0.5000 0.9646 x2  2 Ga 1.91-1.92
O3 0.1337 0.3083 0.9926 x4  1 Al 1.80
O4 0.1404 0.1911 0.3312 x4  1 Al 1.80
O5 0.2314 0.1869 0.9497 x4  1 Al 1.86
O6 0.3049 0.3125 0.6452 x4  1 Al 1.81
O7 0.3205 0.5000 0.6847 x2  2 Ga 1.90-1.92
O8 0.4166 0.0765 0.3925 x4  1 Ga 1.86

Computed properties:
magnetic moment: 6.00 μB per formula unit
final energy: -6.789 eV per atom